# 1
A relaxed structure of CsLaTaAu2, computed with PBE.

Summary:
E_tot	-4.053	eV per atom
energy relative to the elements	785	meV/atom
space group	P4/mmm (123)

Cell: 5.217 5.217 5.547 Å, 90.00 90.00 90.00°
Sites, in units of the cell vectors:
1 Cs 0.000 0.000 0.000
2 La 0.500 0.500 0.000
3 Ta 0.000 0.000 0.500
4 Au 0.000 0.500 0.500
5 Au 0.500 0.000 0.500


# 2
A relaxed structure of Sc6Ge2AsS3, computed with PBE.

Summary:
E_tot	-6.804	eV per atom
space group	C2/m (12)

Cell: 8.510 8.510 7.630 Å, 103.28 103.28 25.76°
Sites, in units of the cell vectors:
1 Sc 0.002 0.002 0.252
2 Sc 0.333 0.333 0.915
3 Sc 0.334 0.334 0.415
4 Sc 0.666 0.666 0.585
5 Sc 0.667 0.667 0.085
6 Sc 0.998 0.998 0.748
7 Ge 0.167 0.167 0.335
8 Ge 0.833 0.833 0.665
9 As 0.500 0.500 0.000
10 S 0.166 0.166 0.835
11 S 0.500 0.500 0.500
12 S 0.834 0.834 0.165


# 3
A relaxed structure of HoPuCd6, computed with PBE.

Summary:
E_tot	-3.193	eV per atom
energy relative to the elements	-143	meV/atom
space group	Amm2 (38)

Cell: 4.941 6.558 6.558 Å, 66.14 90.00 90.00°
Sites, in units of the cell vectors:
1 Ho 0.000 0.000 0.000
2 Pu 0.500 0.268 0.268
3 Cd 0.000 0.459 0.459
4 Cd 0.000 0.514 0.945
5 Cd 0.000 0.945 0.514
6 Cd 0.500 0.323 0.754
7 Cd 0.500 0.754 0.323
8 Cd 0.500 0.809 0.809


# 4
A relaxed structure of LaTa2P, computed with PBE.

Summary:
E_tot	-8.529	eV per atom
energy relative to the elements	-18	meV/atom
space group	P4/mmm (123)

Cell: 3.349 3.349 7.317 Å, 90.00 90.00 90.00°
Sites, in units of the cell vectors:
1 La 0.000 0.000 0.000
2 Ta 0.500 0.500 0.326
3 Ta 0.500 0.500 0.674
4 P 0.000 0.000 0.500


# 5
A relaxed structure of ThSbRh, computed with PBE.

Summary:
E_tot	-6.880	eV per atom
space group	I4mm (107)

Cell: 6.160 6.160 6.160 Å, 147.29 147.29 46.94°
Sites, in units of the cell vectors:
1 Th 0.000 0.000 0.000
2 Sb 0.710 0.710 0.000
3 Rh 0.332 0.332 0.000